(1)
An optimized crystal structure of SrLaBe2, computed with PBE.

Properties
Crystal system: tetragonal

a = 7.929 Å, b = 7.929 Å, c = 6.735 Å
α = 53.94°, β = 53.94°, γ = 90.00°
Positions (direct):
Sr1 0.500 0.500 0.000
Sr2 0.250 0.750 0.500
Be1 0.645 0.125 0.250
Be2 0.105 0.625 0.250
Be3 0.375 0.355 0.750
Be4 0.875 0.895 0.750
La1 0.000 0.000 0.000
La2 0.750 0.250 0.500



(2)
An optimized crystal structure of SrLaBe2, computed with PBE.

Properties
Crystal system: cubic

a = 5.190 Å, b = 5.190 Å, c = 5.190 Å
α = 60.00°, β = 60.00°, γ = 60.00°
Positions (direct):
Sr1 0.000 0.000 0.000
Be1 0.250 0.250 0.250
Be2 0.750 0.750 0.750
La1 0.500 0.500 0.500



It is (1) that is the least stable of them.